[1]
DFT (PBE-GGA) results for crystalline MnTc2SnH at its relaxed geometry.

Unit cell a=4.248 b=4.248 c=3.555 alpha=90.00 beta=90.00 gamma=90.00
Site moments in Bohr magnetons follow the coordinates.
Element x y z (fractional)
H1 0.000 0.000 0.000  -0.01
Mn1 0.000 0.000 0.500  2.95
Sn1 0.500 0.500 0.500  -0.03
Tc1 0.000 0.500 0.000  0.17
Tc2 0.500 0.000 0.000  0.17

space group	P4/mmm, No. 123
DOS at the Fermi energy	4.76	states/eV per cell
total magnetic moment	3.38	μB per formula unit
V	12.829	Å³/atom
electronic total energy	-7.348	eV per atom

[2]
DFT (PBE-GGA) results for crystalline Ti2MnSnH at its relaxed geometry.

Unit cell a=4.156 b=4.156 c=3.906 alpha=90.00 beta=90.00 gamma=90.00
Site moments in Bohr magnetons follow the coordinates.
Element x y z (fractional)
H1 0.000 0.000 0.000  0.00
Mn1 0.000 0.000 0.500  2.24
Sn1 0.500 0.500 0.500  -0.02
Ti1 0.000 0.500 0.000  -0.59
Ti2 0.500 0.000 0.000  -0.59

space group	P4/mmm, No. 123
DOS at the Fermi energy	5.04	states/eV per cell
total magnetic moment	0.87	μB per formula unit
V	13.496	Å³/atom
electronic total energy	-6.753	eV per atom